A PBEsol-optimized structure of Ca2AlAg. Source: the Alexandria database, functional SCAN.

Summary:
Formation enthalpy at 0 K: -0.71 eV/f.u.

Cell: 4.9945 4.9945 4.9945 Å, 60.00 60.00 60.00°
Sites, in units of the cell vectors:
Ca  0.0000  0.0000  0.0000
Ca  0.7500  0.7500  0.7500
Al  0.2500  0.2500  0.2500
Ag  0.5000  0.5000  0.5000

***

A PBEsol-optimized structure of MgNbInCl2. Source: the Alexandria database, functional SCAN.

Summary:
Raw formation energy: 221 kJ/mol of formula units

Cell: 5.1266 5.1266 5.7727 Å, 90.00 90.00 90.00°
Last column: magnetic moment on the atom in μB.
Sites, in units of the cell vectors:
Nb  0.0000  0.0000  0.5000  2.59
Cl  0.0000  0.5000  0.0000  0.03
Cl  0.5000  0.0000  0.0000  0.03
Mg  0.5000  0.5000  0.5000  -0.04
In  0.0000  0.0000  0.0000  0.03

***

A PBEsol-optimized structure of CaLa2HgAs. Source: the Alexandria database, functional SCAN.

Summary:
Formation enthalpy at 0 K: -1.75 eV/f.u.

Cell: 5.2551 5.7157 5.7157 Å, 90.00 90.00 90.00°
Sites, in units of the cell vectors:
As  0.0000  0.0000  0.0000
Ca  0.5000  0.5000  0.5000
Hg  0.5000  0.0000  0.0000
La  0.0000  0.0000  0.5000
La  0.0000  0.5000  0.0000